(1)
Density functional theory data (GGA-PBE) for PmGd2Th after structural relaxation.

The structure in POSCAR format:
```
PmGd2Th
1.0
-3.0040 1.7623 -0.1761
-2.2791 -0.1716 2.6338
3.7491 10.4638 6.2344
Th Gd Pm
1 2 1
direct
0.0000 0.0000 0.0000 Th
0.9110 0.9110 0.2670 Gd
0.0890 0.0890 0.7330 Gd
0.5000 0.5000 0.5000 Pm
```

- magnetic moment (μB per cell) = 14.583
- ΔH_f (0 K) (eV per formula unit) = 0.8
- uncorrected energy (eV/atom) = -9.89
- density of states at the Fermi level (states/eV per atom) = 1.36
- energy relative to the lowest polymorph listed for this composition (meV/atom) = 163



(2)
Density functional theory data (GGA-PBE) for PmGdTh after structural relaxation.

The structure in POSCAR format:
```
PmGdTh
1.0
3.6115 0.0000 0.0000
0.0000 3.6115 0.0000
-1.8057 -1.8057 7.6004
Gd Th Pm
1 1 1
direct
0.3244 0.3244 0.6488 Gd
0.6679 0.6679 0.3358 Th
0.0077 0.0077 0.0154 Pm
```

- magnetic moment (μB per cell) = 7.306
- ΔH_f (0 K) (eV per formula unit) = 0.1
- uncorrected energy (eV/atom) = -8.73
- density of states at the Fermi level (states/eV per atom) = 1.28



(3)
Density functional theory data (GGA-PBE) for PmGdTh after structural relaxation.

The structure in POSCAR format:
```
PmGdTh
1.0
-1.6921 2.4661 -2.0029
2.4701 -2.1479 -1.4971
-6.2796 -5.8763 -1.9300
Th Gd Pm
1 1 1
direct
0.3333 0.6667 0.6642 Th
0.6667 0.3333 0.3454 Gd
0.0000 0.0000 0.9904 Pm
```

- magnetic moment (μB per cell) = 7.455
- ΔH_f (0 K) (eV per formula unit) = 0.1
- uncorrected energy (eV/atom) = -8.73
- density of states at the Fermi level (states/eV per atom) = 1.55



(4)
Density functional theory data (GGA-PBE) for PmGdTh2 after structural relaxation.

The structure in POSCAR format:
```
PmGdTh2
1.0
5.1611 0.0000 0.0000
0.0000 5.0253 0.0000
0.0000 0.0000 5.0253
Gd Th Pm
1 2 1
direct
0.5000 0.0000 0.0000 Gd
0.0000 0.5000 0.0000 Th
0.0000 0.0000 0.5000 Th
0.5000 0.5000 0.5000 Pm
```

- magnetic moment (μB per cell) = 7.124
- ΔH_f (0 K) (eV per formula unit) = 0.3
- uncorrected energy (eV/atom) = -8.35
- density of states at the Fermi level (states/eV per atom) = 1.57
- energy relative to the lowest polymorph listed for this composition (meV/atom) = 0



(5)
Density functional theory data (GGA-PBE) for PmGdTh2 after structural relaxation.

The structure in POSCAR format:
```
PmGdTh2
1.0
3.5610 0.0000 0.0000
0.0000 3.5610 0.0000
0.0000 0.0000 10.3017
Th Pm Gd
2 1 1
direct
0.0000 0.0000 0.2473 Th
0.0000 0.0000 0.7527 Th
0.5000 0.5000 0.5000 Pm
0.5000 0.5000 0.0000 Gd
```

- magnetic moment (μB per cell) = 7.042
- ΔH_f (0 K) (eV per formula unit) = 0.3
- uncorrected energy (eV/atom) = -8.35
- density of states at the Fermi level (states/eV per atom) = 1.71
- energy relative to the lowest polymorph listed for this composition (meV/atom) = 6



(6)
Density functional theory data (GGA-PBE) for PmGdTmTh after structural relaxation.

The structure in POSCAR format:
```
PmGdTmTh
1.0
5.6969 0.0000 0.0000
2.8484 4.9336 0.0000
2.8484 1.6445 4.6515
Gd Pm Tm Th
1 1 1 1
direct
0.2500 0.2500 0.2500 Gd
0.7500 0.7500 0.7500 Pm
0.0000 0.0000 0.0000 Tm
0.5000 0.5000 0.5000 Th
```

- magnetic moment (μB per cell) = 9.265
- ΔH_f (0 K) (eV per formula unit) = 0.7
- uncorrected energy (eV/atom) = -7.50
- density of states at the Fermi level (states/eV per atom) = 2.11



(7)
Density functional theory data (GGA-PBE) for PmGdYTh after structural relaxation.

The structure in POSCAR format:
```
PmGdYTh
1.0
5.7237 0.0000 0.0000
2.8619 4.9569 0.0000
2.8619 1.6523 4.6734
Y Gd Pm Th
1 1 1 1
direct
0.0000 0.0000 0.0000 Y
0.7500 0.7500 0.7500 Gd
0.2500 0.2500 0.2500 Pm
0.5000 0.5000 0.5000 Th
```

- magnetic moment (μB per cell) = 8.986
- ΔH_f (0 K) (eV per formula unit) = 0.7
- uncorrected energy (eV/atom) = -8.00
- density of states at the Fermi level (states/eV per atom) = 2.26



(8)
Density functional theory data (GGA-PBE) for PmGdThZn after structural relaxation.

The structure in POSCAR format:
```
PmGdThZn
1.0
5.4222 0.0000 0.0000
2.7111 4.6958 0.0000
2.7111 1.5653 4.4272
Zn Gd Th Pm
1 1 1 1
direct
0.0000 0.0000 0.0000 Zn
0.2500 0.2500 0.2500 Gd
0.7500 0.7500 0.7500 Th
0.5000 0.5000 0.5000 Pm
```

- magnetic moment (μB per cell) = 8.603
- ΔH_f (0 K) (eV per formula unit) = 0.4
- uncorrected energy (eV/atom) = -6.77
- density of states at the Fermi level (states/eV per atom) = 1.43



(9)
Density functional theory data (GGA-PBE) for PmGdThZr after structural relaxation.

The structure in POSCAR format:
```
PmGdThZr
1.0
-2.0955 -3.8271 -3.3914
2.1933 -0.7447 -5.0174
2.8777 -4.5867 -1.1046
Zr Th Pm Gd
1 1 1 1
direct
0.2500 0.2500 0.2500 Zr
0.0000 0.0000 0.0000 Th
0.7500 0.7500 0.7500 Pm
0.5000 0.5000 0.5000 Gd
```

- magnetic moment (μB per cell) = 7.927
- ΔH_f (0 K) (eV per formula unit) = 0.8
- uncorrected energy (eV/atom) = -8.50
- density of states at the Fermi level (states/eV per atom) = 1.88



(10)
Density functional theory data (GGA-PBE) for PmGd2Ti after structural relaxation.

The structure in POSCAR format:
```
PmGd2Ti
1.0
3.3721 0.0000 0.0000
1.6861 2.9204 0.0000
1.6861 0.9735 11.8837
Gd Ti Pm
2 1 1
direct
0.0824 0.0824 0.7529 Gd
0.9176 0.9176 0.2471 Gd
0.0000 0.0000 0.0000 Ti
0.5000 0.5000 0.5000 Pm
```

- magnetic moment (μB per cell) = 16.479
- ΔH_f (0 K) (eV per formula unit) = 1.7
- uncorrected energy (eV/atom) = -9.77
- density of states at the Fermi level (states/eV per atom) = 1.34
- energy relative to the lowest polymorph listed for this composition (meV/atom) = 258



(11)
Density functional theory data (GGA-PBE) for PmGd2Ti after structural relaxation.

The structure in POSCAR format:
```
PmGd2Ti
1.0
-2.8064 1.8287 -0.6589
-1.9278 -2.4704 1.3548
0.7123 4.2524 8.7675
Gd Pm Ti
2 1 1
direct
0.0000 0.0000 0.7846 Gd
0.0000 0.0000 0.2154 Gd
0.5000 0.5000 0.5000 Pm
0.5000 0.5000 0.0000 Ti
```

- magnetic moment (μB per cell) = 14.336
- ΔH_f (0 K) (eV per formula unit) = 0.7
- uncorrected energy (eV/atom) = -10.03
- density of states at the Fermi level (states/eV per atom) = 1.57
- energy relative to the lowest polymorph listed for this composition (meV/atom) = 0



(12)
Density functional theory data (GGA-PBE) for PmGdTl after structural relaxation.

The structure in POSCAR format:
```
PmGdTl
1.0
3.7838 0.0000 0.0000
0.0000 3.7838 0.0000
-1.8919 -1.8919 6.4416
Tl Pm Gd
1 1 1
direct
0.6685 0.6685 0.3371 Tl
0.0099 0.0099 0.0198 Pm
0.3216 0.3216 0.6431 Gd
```

- magnetic moment (μB per cell) = 8.069
- ΔH_f (0 K) (eV per formula unit) = -0.7
- uncorrected energy (eV/atom) = -7.31
- density of states at the Fermi level (states/eV per atom) = 1.03
- energy relative to the lowest polymorph listed for this composition (meV/atom) = 0



(13)
Density functional theory data (GGA-PBE) for PmGdTl2 after structural relaxation.

The structure in POSCAR format:
```
PmGdTl2
1.0
-1.9495 -0.8448 -3.1692
1.7915 -1.5707 -2.9802
-1.9584 -9.7035 1.4944
Gd Tl Pm
1 2 1
direct
0.0000 0.0000 0.0000 Gd
0.7490 0.7490 0.7530 Tl
0.2510 0.2510 0.2470 Tl
0.5000 0.5000 0.5000 Pm
```

- magnetic moment (μB per cell) = 7.044
- ΔH_f (0 K) (eV per formula unit) = -1.1
- uncorrected energy (eV/atom) = -6.16
- density of states at the Fermi level (states/eV per atom) = 0.82
- energy relative to the lowest polymorph listed for this composition (meV/atom) = 122



(14)
Density functional theory data (GGA-PBE) for PmGd2Tl after structural relaxation.

The structure in POSCAR format:
```
PmGd2Tl
1.0
3.6467 0.0000 0.0000
0.0000 3.6467 0.0000
0.0000 0.0000 9.3018
Gd Pm Tl
2 1 1
direct
0.0000 0.0000 0.2273 Gd
0.0000 0.0000 0.7727 Gd
0.5000 0.5000 0.5000 Pm
0.5000 0.5000 0.0000 Tl
```

- magnetic moment (μB per cell) = 14.757
- ΔH_f (0 K) (eV per formula unit) = -0.7
- uncorrected energy (eV/atom) = -9.00
- density of states at the Fermi level (states/eV per atom) = 1.08
- energy relative to the lowest polymorph listed for this composition (meV/atom) = 40



(15)
Density functional theory data (GGA-PBE) for PmGdTl2 after structural relaxation.

The structure in POSCAR format:
```
PmGdTl2
1.0
3.8262 0.0000 0.0000
0.0000 3.8262 0.0000
0.0000 0.0000 7.8129
Tl Gd Pm
2 1 1
direct
0.0000 0.0000 0.2460 Tl
0.0000 0.0000 0.7540 Tl
0.5000 0.5000 0.0000 Gd
0.5000 0.5000 0.5000 Pm
```

- magnetic moment (μB per cell) = 7.278
- ΔH_f (0 K) (eV per formula unit) = -1.6
- uncorrected energy (eV/atom) = -6.28
- density of states at the Fermi level (states/eV per atom) = 0.87
- energy relative to the lowest polymorph listed for this composition (meV/atom) = 0



(16)
Density functional theory data (GGA-PBE) for PmGdTl2 after structural relaxation.

The structure in POSCAR format:
```
PmGdTl2
1.0
-3.0675 -1.6192 4.2135
2.3752 -1.8043 4.5704
-0.1958 3.0097 4.5485
Gd Tl Pm
1 2 1
direct
0.5000 0.5000 0.5000 Gd
0.2500 0.2500 0.2500 Tl
0.7500 0.7500 0.7500 Tl
0.0000 0.0000 0.0000 Pm
```

- magnetic moment (μB per cell) = 7.369
- ΔH_f (0 K) (eV per formula unit) = -1.5
- uncorrected energy (eV/atom) = -6.27
- density of states at the Fermi level (states/eV per atom) = 0.83
- energy relative to the lowest polymorph listed for this composition (meV/atom) = 11



(17)
Density functional theory data (GGA-PBE) for PmGdTl after structural relaxation.

The structure in POSCAR format:
```
PmGdTl
1.0
3.7373 0.0000 0.0000
0.0000 5.3238 0.0000
0.0000 -2.6619 4.6105
Pm Gd Tl
1 1 1
direct
0.3706 0.3333 0.6667 Pm
0.9206 0.0000 0.0000 Gd
0.7088 0.6667 0.3333 Tl
```

- magnetic moment (μB per cell) = 7.343
- ΔH_f (0 K) (eV per formula unit) = -0.5
- uncorrected energy (eV/atom) = -7.23
- density of states at the Fermi level (states/eV per atom) = 1.18
- energy relative to the lowest polymorph listed for this composition (meV/atom) = 81



(18)
Density functional theory data (GGA-PBE) for PmGd2Tl after structural relaxation.

The structure in POSCAR format:
```
PmGd2Tl
1.0
4.9344 0.0000 0.0000
0.0000 4.9023 0.0000
0.0000 0.0000 4.9023
Pm Tl Gd
1 1 2
direct
0.5000 0.5000 0.5000 Pm
0.5000 0.0000 0.0000 Tl
0.0000 0.0000 0.5000 Gd
0.0000 0.5000 0.0000 Gd
```

- magnetic moment (μB per cell) = 15.478
- ΔH_f (0 K) (eV per formula unit) = -0.9
- uncorrected energy (eV/atom) = -9.04
- density of states at the Fermi level (states/eV per atom) = 0.90
- energy relative to the lowest polymorph listed for this composition (meV/atom) = 0



(19)
Density functional theory data (GGA-PBE) for PmGd2Tl after structural relaxation.

The structure in POSCAR format:
```
PmGd2Tl
1.0
-0.8287 4.2106 3.4925
-3.5570 -0.5503 4.2022
1.8806 -0.3033 5.1947
Tl Pm Gd
1 1 2
direct
0.5000 0.5000 0.5000 Tl
0.0000 0.0000 0.0000 Pm
0.7500 0.7500 0.7500 Gd
0.2500 0.2500 0.2500 Gd
```

- magnetic moment (μB per cell) = 16.312
- ΔH_f (0 K) (eV per formula unit) = -0.3
- uncorrected energy (eV/atom) = -8.88
- density of states at the Fermi level (states/eV per atom) = 1.49
- energy relative to the lowest polymorph listed for this composition (meV/atom) = 158



(20)
Density functional theory data (GGA-PBE) for PmGd2Tl after structural relaxation.

The structure in POSCAR format:
```
PmGd2Tl
1.0
-0.8189 0.6399 3.4677
-3.0866 -1.2760 1.3962
3.9040 -9.5699 4.5776
Tl Gd Pm
1 2 1
direct
0.5000 0.5000 0.5000 Tl
0.2455 0.2455 0.2636 Gd
0.7545 0.7545 0.7364 Gd
0.0000 0.0000 0.0000 Pm
```

- magnetic moment (μB per cell) = 14.699
- ΔH_f (0 K) (eV per formula unit) = -0.5
- uncorrected energy (eV/atom) = -8.93
- density of states at the Fermi level (states/eV per atom) = 1.20
- energy relative to the lowest polymorph listed for this composition (meV/atom) = 108